[1]
The following is a GGA-PBE calculation of a geometry-optimized Ag structure, from OQMD.

Summary:
Polymorph energy (0 for the lowest one): 0.0788 eV/atom
Energy of formation: 7.6 kJ/mol of formula units

Cell lengths 2.879, 2.879, 32.520 Å; angles 90.00, 90.00, 120.00 degrees
Element x y z (fractional)
Ag 0.000 0.000 0.500
Ag 0.667 0.333 0.575
Ag 0.000 0.000 0.724
Ag 0.333 0.667 0.425
Ag 0.333 0.667 0.650
Ag 0.667 0.333 0.799
Ag 0.000 0.000 0.276
Ag 0.333 0.667 0.201
Ag 0.667 0.333 0.350

=====

[2]
The following is a GGA-PBE calculation of a geometry-optimized Ag structure, from OQMD.

Summary:
Polymorph energy (0 for the lowest one): 0.0002 eV/atom
Energy of formation: 0.0 kJ/mol of formula units

Cell lengths 2.915, 2.915, 14.341 Å; angles 90.00, 90.00, 120.00 degrees
Element x y z (fractional)
Ag 0.333 0.667 0.084
Ag 0.667 0.333 0.916
Ag 0.667 0.333 0.417
Ag 0.000 0.000 0.250
Ag 0.333 0.667 0.583
Ag 0.000 0.000 0.750

=====

[3]
The following is a GGA-PBE calculation of a geometry-optimized Ag structure, from OQMD.

Summary:
Polymorph energy (0 for the lowest one): 0.3128 eV/atom
Energy of formation: 30.2 kJ/mol of formula units

Cell lengths 11.732, 11.732, 11.732 Å; angles 13.93, 13.93, 13.93 degrees
Element x y z (fractional)
Ag 0.203 0.203 0.203
Ag 0.797 0.797 0.797

=====

[4]
The following is a GGA-PBE calculation of a geometry-optimized Ag structure, from OQMD.

Summary:
Polymorph energy (0 for the lowest one): 0.0047 eV/atom
Energy of formation: 0.5 kJ/mol of formula units

Cell lengths 2.918, 2.918, 9.474 Å; angles 90.00, 90.00, 120.00 degrees
Element x y z (fractional)
Ag 0.667 0.333 0.750
Ag 0.000 0.000 0.500
Ag 0.000 0.000 0.000
Ag 0.333 0.667 0.250

=====

[5]
The following is a GGA-PBE calculation of a geometry-optimized Ag structure, from OQMD.

Summary:
Polymorph energy (0 for the lowest one): 0.0174 eV/atom
Energy of formation: 1.7 kJ/mol of formula units

Cell lengths 2.807, 2.963, 4.747 Å; angles 90.00, 90.00, 61.72 degrees
Element x y z (fractional)
Ag 0.840 0.321 0.250
Ag 0.160 0.679 0.750

=====

[6]
The following is a GGA-PBE calculation of a geometry-optimized Ag structure, from OQMD.

Summary:
Polymorph energy (0 for the lowest one): 0.2212 eV/atom
Energy of formation: 21.3 kJ/mol of formula units

Cell lengths 3.324, 3.324, 4.300 Å; angles 67.26, 112.74, 120.00 degrees
Element x y z (fractional)
Ag 0.750 0.250 0.250
Ag 0.250 0.750 0.750

=====

[7]
The following is a GGA-PBE calculation of a geometry-optimized Ag structure, from OQMD.

Summary:
Polymorph energy (0 for the lowest one): 0.0974 eV/atom
Energy of formation: 9.4 kJ/mol of formula units

Cell lengths 5.229, 5.229, 5.229 Å; angles 90.00, 90.00, 90.00 degrees
Element x y z (fractional)
Ag 0.000 0.000 0.000
Ag 0.500 0.500 0.500
Ag 0.750 0.000 0.500
Ag 0.500 0.750 0.000
Ag 0.500 0.250 0.000
Ag 0.000 0.500 0.750
Ag 0.250 0.000 0.500
Ag 0.000 0.500 0.250

=====

[8]
The following is a GGA-PBE calculation of a geometry-optimized Ag structure, from OQMD.

Summary:
Polymorph energy (0 for the lowest one): 0.1201 eV/atom
Energy of formation: 11.6 kJ/mol of formula units

Cell lengths 5.001, 5.001, 23.684 Å; angles 90.25, 90.25, 47.40 degrees
Element x y z (fractional)
Ag 0.896 0.896 0.720
Ag 0.204 0.204 0.280
Ag 0.295 0.295 0.801
Ag 0.700 0.700 0.480
Ag 0.400 0.400 0.520
Ag 0.000 0.000 0.440
Ag 0.598 0.598 0.762
Ag 0.805 0.805 0.199
Ag 0.100 0.100 0.560
Ag 0.601 0.601 0.360
Ag 0.106 0.106 0.164
Ag 0.994 0.994 0.836
Ag 0.499 0.499 0.640
Ag 0.301 0.301 0.400
Ag 0.197 0.197 0.680
Ag 0.903 0.903 0.320
Ag 0.502 0.502 0.238
Ag 0.799 0.799 0.600

=====

Please write out number 2 again, unchanged.
The following is a GGA-PBE calculation of a geometry-optimized Ag structure, from OQMD.

Summary:
Polymorph energy (0 for the lowest one): 0.0002 eV/atom
Energy of formation: 0.0 kJ/mol of formula units

Cell lengths 2.915, 2.915, 14.341 Å; angles 90.00, 90.00, 120.00 degrees
Element x y z (fractional)
Ag 0.333 0.667 0.084
Ag 0.667 0.333 0.916
Ag 0.667 0.333 0.417
Ag 0.000 0.000 0.250
Ag 0.333 0.667 0.583
Ag 0.000 0.000 0.750

=====

- Look up the polymorph energy (0 for the lowest one) of the eighth one.
  0.1201 eV/atom